Compound: HoTmCo2C2
Source: OQMD via LeMat-Bulk
Functional: PBE-GGA
Structure: optimized geometry

## Properties
spin magnetization: 0.65 μB/f.u.
crystal system: tetragonal
total energy: -7.29 eV/atom

a = 3.5986 Å, b = 3.5986 Å, c = 6.7714 Å
α = 90.00°, β = 90.00°, γ = 90.00°
Sites, in units of the cell vectors:
Ho 0.0000 0.0000 0.0000
Tm 0.0000 0.0000 0.5000
Co 0.5000 0.5000 0.2522
Co 0.5000 0.5000 0.7478
C 0.5000 0.0000 0.7481
C 0.0000 0.5000 0.2519